Density functional theory data (PBE) for a relaxed CaAcTlRh crystal.

Geometry as POSCAR:
```
CaAcTlRh
1.0
0.000 3.806 3.806
3.806 0.000 3.806
3.806 3.806 0.000
Ca Ac Tl Rh
1 1 1 1
direct
0.000 0.000 0.000
0.500 0.500 0.500
0.250 0.250 0.250
0.750 0.750 0.750
```

raw total energy	-4.276	eV/atom